# CoHgW2, PBEsol geometry, DFT meta-GGA SCAN
# Energy relative to the elements, meV/atom: 673
# Symmetry: R-3m
data_CoHgW2
_chemical_formula_sum 'Co1 Hg1 W2'
_cell_length_a 2.776
_cell_length_b 2.776
_cell_length_c 9.325
_cell_angle_alpha 81.44
_cell_angle_beta 81.44
_cell_angle_gamma 60.00
_space_group_name_H-M_alt 'P 1'
_space_group_IT_number 1
loop_
_space_group_symop_operation_xyz
'x,y,z'
loop_
_atom_site_label
_atom_site_type_symbol
_atom_site_fract_x
_atom_site_fract_y
_atom_site_fract_z
Hg1 Hg 0.000 0.000 0.000
W1 W 0.759 0.759 0.722
W2 W 0.241 0.241 0.278
Co1 Co 0.500 0.500 0.500